# 1
Entry from Alexandria via LeMat-Bulk: an optimized crystal structure of LiTbEuCd (PBE-GGA).

```
LiTbEuCd
1.0
5.417 0.000 0.000
2.708 4.691 0.000
2.708 1.564 4.423
Eu Li Tb Cd
1 1 1 1
Cartesian
5.417 3.127 2.211 Eu
2.708 1.564 1.106 Li
0.000 0.000 0.000 Tb
8.125 4.691 3.317 Cd
```

- Spin magnetization: 7.285 μB per formula unit
- DOS(E_F): 7.14 states/eV per cell
- Energy of formation: -0.105 eV per atom

# 2
Entry from Alexandria via LeMat-Bulk: an optimized crystal structure of Sr3BiSb2Pd9 (PBE-GGA).

```
Sr3BiSb2Pd9
1.0
6.842 0.000 0.000
-3.421 5.925 0.000
0.000 0.000 9.608
Sr Bi Sb Pd
3 1 2 9
Cartesian
0.000 3.950 6.937 Sr
0.000 0.000 0.000 Sr
3.421 1.975 2.671 Sr
0.000 0.000 4.804 Bi
0.000 3.950 1.733 Sb
3.421 1.975 7.876 Sb
5.451 0.803 6.962 Pd
3.421 4.319 6.962 Pd
1.391 0.803 6.962 Pd
2.030 5.122 2.646 Pd
0.000 1.606 2.646 Pd
-2.030 5.122 2.646 Pd
3.421 0.000 0.000 Pd
-1.710 2.963 0.000 Pd
1.710 2.963 0.000 Pd
```

- Spin magnetization: 0.000 μB per formula unit
- Formation energy from raw total energies: -0.439 eV per atom
- DOS(E_F): 5.46 states/eV per cell

# 3
Entry from Alexandria via LeMat-Bulk: an optimized crystal structure of CaNi6C (PBE-GGA).

```
CaNi6C
1.0
5.201 0.000 0.000
2.601 4.504 0.000
2.601 1.501 4.335
Ca Ni C
1 6 1
Cartesian
5.201 3.003 2.168 Ca
9.027 5.212 3.342 Ni
6.577 5.212 3.342 Ni
2.601 2.916 0.993 Ni
3.825 0.794 0.993 Ni
1.376 0.794 0.993 Ni
7.802 3.090 3.342 Ni
0.000 0.000 0.000 C
```

- Spin magnetization: 0.000 μB per formula unit
- DOS(E_F): 9.31 states/eV per cell
- Energy of formation: 0.069 eV per atom

# 4
Entry from Alexandria via LeMat-Bulk: an optimized crystal structure of TlSnPt2O (PBE-GGA).

```
TlSnPt2O
1.0
-2.458 -3.094 1.781
-1.912 -1.121 -4.587
3.178 -2.882 -0.620
O Tl Sn Pt
1 1 1 2
Cartesian
0.000 0.000 0.000 O
-0.956 -0.561 -2.293 Tl
-0.596 -3.549 -1.713 Sn
1.589 -1.441 -0.310 Pt
-1.229 -1.547 0.891 Pt
```

- Spin magnetization: 0.000 μB per formula unit
- Formation energy from raw total energies: 0.253 eV per atom
- DOS(E_F): 3.56 states/eV per cell

# 5
Entry from Alexandria via LeMat-Bulk: an optimized crystal structure of SnGeAu5 (PBE-GGA).

```
SnGeAu5
1.0
6.478 -0.114 -2.782
-2.156 6.254 -2.443
-0.222 -0.100 7.707
Sn Ge Au
2 2 10
Cartesian
0.000 0.000 0.000 Sn
-1.189 3.077 2.632 Sn
2.560 1.468 3.747 Ge
1.541 4.571 -1.265 Ge
1.771 5.146 1.239 Au
-1.053 5.578 1.296 Au
3.897 3.399 -2.525 Au
3.837 3.282 2.203 Au
2.011 0.762 6.180 Au
2.090 5.277 -3.698 Au
0.264 2.758 0.278 Au
0.204 2.640 5.007 Au
5.154 0.461 1.185 Au
2.330 0.894 1.242 Au
```

- Spin magnetization: 0.000 μB per formula unit
- DOS(E_F): 3.80 states/eV per cell
- Energy of formation: 0.085 eV per atom

# 6
Entry from Alexandria via LeMat-Bulk: an optimized crystal structure of MgSc2Ni2 (PBE-GGA).

```
MgSc2Ni2
1.0
4.316 0.000 0.000
0.000 4.316 0.000
2.158 2.158 5.108
Sc Ni Mg
2 2 1
Cartesian
4.316 2.158 2.554 Sc
2.158 4.316 2.554 Sc
2.158 2.158 1.119 Ni
4.316 4.316 3.989 Ni
0.000 0.000 0.000 Mg
```

- Spin magnetization: 0.000 μB per formula unit
- DOS(E_F): 2.97 states/eV per cell
- Energy of formation: -0.184 eV per atom

# 7
Entry from Alexandria via LeMat-Bulk: an optimized crystal structure of TbFeNiC (PBE-GGA).

```
TbFeNiC
1.0
3.423 0.000 0.000
0.000 3.423 0.000
0.000 0.000 9.353
Tb Fe Ni C
2 2 2 2
Cartesian
2.568 2.568 2.401 Tb
0.856 0.856 6.951 Tb
2.568 0.856 0.000 Fe
0.856 2.568 0.000 Fe
0.856 2.568 4.676 Ni
2.568 0.856 4.676 Ni
2.568 2.568 8.428 C
0.856 0.856 0.924 C
```

- Spin magnetization: 0.002 μB per formula unit
- DOS(E_F): 6.47 states/eV per cell
- Energy of formation: -0.169 eV per atom

# 8
Entry from Alexandria via LeMat-Bulk: an optimized crystal structure of HfSiRh3 (PBE-GGA).

```
HfSiRh3
1.0
-3.982 1.539 2.080
-2.586 -2.502 -3.099
0.092 -3.731 2.936
Rh Si Hf
3 1 1
Cartesian
-1.293 -1.251 -1.549 Rh
0.046 -1.866 1.468 Rh
-1.991 0.769 1.040 Rh
-3.238 -2.347 0.959 Si
0.000 0.000 0.000 Hf
```

- Energy above the most stable polymorph in this dataset: 1.660 eV/atom
- Spin magnetization: 0.000 μB per formula unit
- Formation energy from raw total energies: 1.000 eV per atom
- DOS(E_F): 5.09 states/eV per cell

# 9
Entry from Alexandria via LeMat-Bulk: an optimized crystal structure of NdPuGe2 (PBE-GGA).

```
NdPuGe2
1.0
-1.535 -3.620 -0.751
5.464 -2.142 -0.844
0.504 -1.884 8.046
Nd Pu Ge
2 2 4
Cartesian
1.379 -3.188 1.877 Nd
3.122 -4.714 5.671 Nd
1.082 -1.574 5.371 Pu
4.816 -2.195 0.733 Pu
3.630 -2.326 3.791 Ge
2.122 -0.892 -0.038 Ge
4.312 -4.584 2.615 Ge
0.337 -3.869 7.290 Ge
```

- Spin magnetization: 6.287 μB per formula unit
- DOS(E_F): 22.58 states/eV per cell
- Energy of formation: -0.602 eV per atom

# 10
Entry from Alexandria via LeMat-Bulk: an optimized crystal structure of Zr2BrCl (PBE-GGA).

```
Zr2BrCl
1.0
4.919 0.041 0.000
-0.725 4.866 0.000
0.000 0.000 3.250
Br Zr Cl
1 2 1
Cartesian
2.460 0.020 1.625 Br
0.000 0.000 0.000 Zr
2.097 2.453 0.000 Zr
-0.362 2.433 1.625 Cl
```

- Energy above the most stable polymorph in this dataset: 0.966 eV/atom
- Spin magnetization: 0.000 μB per formula unit
- Formation energy from raw total energies: -0.168 eV per atom
- DOS(E_F): 3.50 states/eV per cell

# 11
Entry from Alexandria via LeMat-Bulk: an optimized crystal structure of ScPaAs (PBE-GGA).

```
ScPaAs
1.0
3.521 0.000 0.000
0.000 3.521 0.000
-1.761 -1.761 5.374
Sc As Pa
1 1 1
Cartesian
0.000 0.000 2.724 Sc
1.761 1.761 1.443 As
1.761 1.761 4.969 Pa
```

- Energy above the most stable polymorph in this dataset: 0.000 eV/atom
- Spin magnetization: 0.656 μB per formula unit
- DOS(E_F): 6.22 states/eV per cell
- Energy of formation: -0.473 eV per atom

# 12
Entry from Alexandria via LeMat-Bulk: an optimized crystal structure of AcLa6Tl2 (PBE-GGA).

```
AcLa6Tl2
1.0
-3.354 2.086 -0.608
-1.974 2.486 6.292
4.644 11.486 0.661
Ac La Tl
1 6 2
Cartesian
0.000 0.000 0.000 Ac
-2.698 4.131 2.791 La
2.013 11.927 3.555 La
0.091 9.316 5.198 La
-3.077 7.666 3.881 La
2.392 8.392 2.465 La
-0.776 6.742 1.148 La
-0.308 3.446 0.391 Tl
-0.377 12.612 5.954 Tl
```

- Energy above the most stable polymorph in this dataset: 0.000 eV/atom
- Spin magnetization: 0.000 μB per formula unit
- DOS(E_F): 11.86 states/eV per cell
- Energy of formation: -0.168 eV per atom

# 13
Entry from Alexandria via LeMat-Bulk: an optimized crystal structure of ZrTcSb4 (PBE-GGA).

```
ZrTcSb4
1.0
-5.484 -2.437 0.443
-2.409 -1.024 5.419
-4.629 3.335 1.914
Zr Tc Sb
1 1 4
Cartesian
0.000 0.000 0.000 Zr
-9.391 -0.094 5.832 Tc
-7.436 -1.264 3.139 Sb
-7.009 1.618 3.873 Sb
-5.901 -0.558 5.623 Sb
-4.698 -0.047 2.918 Sb
```

- Spin magnetization: 2.363 μB per formula unit
- Formation energy from raw total energies: 0.835 eV per atom
- DOS(E_F): 5.98 states/eV per cell

# 14
Entry from Alexandria via LeMat-Bulk: an optimized crystal structure of Tc2AsSe (PBE-GGA).

```
Tc2AsSe
1.0
0.482 -0.079 4.351
-0.051 3.739 2.277
-3.399 0.936 2.596
As Tc Se
1 2 1
Cartesian
0.000 0.000 0.000 As
-0.742 1.149 2.306 Tc
-2.226 3.447 6.918 Tc
-1.484 2.298 4.612 Se
```

- Energy above the most stable polymorph in this dataset: 0.165 eV/atom
- Spin magnetization: 0.000 μB per formula unit
- Formation energy from raw total energies: 0.066 eV per atom
- DOS(E_F): 2.56 states/eV per cell

# 15
Entry from Alexandria via LeMat-Bulk: an optimized crystal structure of PrSmTe3 (PBE-GGA).

```
PrSmTe3
1.0
4.448 0.000 0.000
0.000 11.933 0.000
0.000 0.000 12.335
Pr Sm Te
4 4 12
Cartesian
3.336 6.016 8.609 Pr
3.336 11.884 2.442 Pr
1.112 5.917 3.726 Pr
1.112 0.049 9.893 Pr
1.112 2.248 5.974 Sm
1.112 3.718 12.142 Sm
3.336 9.685 6.361 Sm
3.336 8.215 0.193 Sm
1.112 3.582 8.970 Te
1.112 2.385 2.803 Te
3.336 8.351 3.364 Te
3.336 9.548 9.532 Te
1.112 7.456 6.672 Te
1.112 10.443 0.504 Te
3.336 4.477 5.663 Te
3.336 1.490 11.830 Te
3.336 0.677 7.599 Te
3.336 5.289 1.431 Te
1.112 11.256 4.736 Te
1.112 6.644 10.903 Te
```

- Energy above the most stable polymorph in this dataset: 0.000 eV/atom
- Spin magnetization: 0.000 μB per formula unit
- Formation energy from raw total energies: -1.467 eV per atom
- DOS(E_F): 1.07 states/eV per cell

# 16
Entry from Alexandria via LeMat-Bulk: an optimized crystal structure of TbHoP2Ir5 (PBE-GGA).

```
TbHoP2Ir5
1.0
-1.471 -3.481 1.330
3.714 -1.483 0.226
0.816 3.630 10.405
Tb Ho P Ir
1 1 2 5
Cartesian
0.408 1.815 5.203 Tb
0.000 0.000 0.000 Ho
1.361 -1.416 3.834 P
1.698 0.081 8.126 P
2.017 -0.032 2.146 Ir
-0.576 -1.031 2.698 Ir
2.514 2.179 8.485 Ir
-0.079 1.180 9.037 Ir
1.530 -0.667 5.980 Ir
```

- Spin magnetization: 0.000 μB per formula unit
- DOS(E_F): 5.21 states/eV per cell
- Energy of formation: -0.614 eV per atom

# 17
Entry from Alexandria via LeMat-Bulk: an optimized crystal structure of ScBe4Se (PBE-GGA).

```
ScBe4Se
1.0
2.836 -2.737 2.658
1.586 1.585 4.192
-1.638 -1.906 4.036
Sc Be Se
1 4 1
Cartesian
2.088 -2.293 8.164 Sc
2.412 -2.470 5.413 Be
0.279 -2.073 6.069 Be
1.816 -0.409 6.144 Be
1.060 -1.164 4.145 Be
0.000 0.000 0.000 Se
```

- Spin magnetization: 0.000 μB per formula unit
- Formation energy from raw total energies: 0.221 eV per atom
- DOS(E_F): 2.97 states/eV per cell

# 18
Entry from Alexandria via LeMat-Bulk: an optimized crystal structure of SrGaPdC2 (PBE-GGA).

```
SrGaPdC2
1.0
4.300 0.000 0.000
0.000 4.785 0.000
0.000 0.000 4.300
Sr C Ga Pd
1 2 1 1
Cartesian
2.150 2.393 2.150 Sr
0.000 0.000 2.150 C
2.150 0.000 0.000 C
0.000 2.393 0.000 Ga
0.000 0.000 0.000 Pd
```

- Spin magnetization: 0.892 μB per formula unit
- DOS(E_F): 2.55 states/eV per cell
- Energy of formation: 1.381 eV per atom

# 19
Entry from Alexandria via LeMat-Bulk: an optimized crystal structure of TbNd2Sm3Tm6 (PBE-GGA).

```
TbNd2Sm3Tm6
1.0
-3.724 1.179 -4.789
5.361 -2.940 -0.904
-5.816 -9.523 3.505
Tb Nd Sm Tm
1 2 3 6
Cartesian
0.000 0.000 0.000 Tb
2.331 -1.566 -2.200 Nd
-0.695 -0.194 -3.494 Nd
0.938 -7.014 0.201 Sm
-5.118 -4.269 -2.389 Sm
-2.090 -5.642 -1.094 Sm
-4.646 -7.773 -2.287 Tm
-0.228 -3.708 -3.398 Tm
0.467 -3.511 0.099 Tm
-1.620 -9.145 -0.993 Tm
-3.951 -7.576 1.209 Tm
-2.559 -2.139 -1.195 Tm
```

- Spin magnetization: 0.000 μB per formula unit
- DOS(E_F): 13.32 states/eV per cell
- Energy of formation: 0.018 eV per atom

# 20
Entry from Alexandria via LeMat-Bulk: an optimized crystal structure of BaRe2WI (PBE-GGA).

```
BaRe2WI
1.0
4.987 0.000 0.000
0.000 5.808 0.000
0.000 0.000 4.987
I Re Ba W
1 2 1 1
Cartesian
0.000 2.904 0.000 I
0.000 0.000 2.494 Re
2.494 0.000 0.000 Re
0.000 0.000 0.000 Ba
2.494 2.904 2.494 W
```

- Spin magnetization: 0.000 μB per formula unit
- Formation energy from raw total energies: 4.070 eV per atom
- DOS(E_F): 13.27 states/eV per cell

# 21
Entry from Alexandria via LeMat-Bulk: an optimized crystal structure of ZnCu2Si2 (PBE-GGA).

```
ZnCu2Si2
1.0
3.505 0.000 0.000
0.000 3.505 0.000
1.752 1.752 5.876
Zn Si Cu
1 2 2
Cartesian
0.000 0.000 0.000 Zn
3.505 1.752 2.938 Si
1.752 3.505 2.938 Si
1.752 1.752 1.211 Cu
3.505 3.505 4.665 Cu
```

- Energy above the most stable polymorph in this dataset: 0.003 eV/atom
- Spin magnetization: 0.000 μB per formula unit
- Formation energy from raw total energies: 0.164 eV per atom
- DOS(E_F): 1.61 states/eV per cell

# 22
Entry from Alexandria via LeMat-Bulk: an optimized crystal structure of SrCdNO2 (PBE-GGA).

```
SrCdNO2
1.0
-4.535 0.742 0.673
0.550 -0.768 4.547
0.875 4.721 0.692
Sr N O Cd
1 1 2 1
Cartesian
0.000 0.000 0.000 Sr
0.437 2.360 0.346 N
0.275 -0.384 2.274 O
-2.268 0.371 0.337 O
-1.555 2.347 2.956 Cd
```

- Spin magnetization: 3.254 μB per formula unit
- Formation energy from raw total energies: 0.426 eV per atom
- DOS(E_F): 4.51 states/eV per cell